# CePm2Pr3P6 PBE-GGA relaxed
# Total magnetization in μB/cell: 0.605
# Calculated total energy in eV/atom: -6.73
# Calculated formation energy in eV per atom: -1.5392
data_CePm2Pr3P6
_chemical_formula_sum 'Ce2 Pm4 Pr6 P12'
_cell_length_a 7.1993
_cell_length_b 12.4665
_cell_length_c 7.2049
_cell_angle_alpha 90.00
_cell_angle_beta 109.45
_cell_angle_gamma 90.00
_space_group_name_H-M_alt 'C 1 2/m 1'
_space_group_IT_number 12
loop_
_space_group_symop_operation_xyz
'x,y,z'
'-x,-y,-z'
'-x,y,-z'
'x,-y,z'
'x+1/2,y+1/2,z'
'-x+1/2,-y+1/2,-z'
'-x+1/2,y+1/2,-z'
'x+1/2,-y+1/2,z'
loop_
_atom_site_label
_atom_site_fract_x
_atom_site_fract_y
_atom_site_fract_z
Ce1 0.0000 0.0000 0.0000
Pm1 0.0000 0.3336 0.0000
Pr1 0.0000 0.1675 0.5000
Pr2 0.0000 0.5000 0.5000
P1 0.2451 0.1642 0.2431
P2 0.2472 0.0000 0.7573